# 1
! Na2ReS (PBE, relaxed); values from VASP
&SYSTEM
  ibrav = 0, nat = 8, ntyp = 3
/
ATOMIC_SPECIES
Na 22.99 Na.upf
Re 186.21 Re.upf
S 32.06 S.upf
CELL_PARAMETERS angstrom
-5.040 5.040 2.204
5.040 -5.040 2.204
5.040 5.040 -2.204
ATOMIC_POSITIONS crystal
Na 0.375 0.230 0.355
Na 0.770 0.125 0.145
Na 0.875 0.020 0.645
Na 0.980 0.625 0.855
Re 0.250 0.750 0.500
Re 0.500 0.500 0.000
S 0.000 0.000 0.000
S 0.750 0.250 0.500
! SG: No. 122
! DOS(E_F), states/eV per cell: 6.60
! Energy relative to the elements, uncorrected, eV/f.u.: 1.8
! Mass density, g/cm³: 3.919

=====

# 2
! NaRe2S4 (PBE, relaxed); values from VASP
&SYSTEM
  ibrav = 0, nat = 14, ntyp = 3
/
ATOMIC_SPECIES
Na 22.99 Na.upf
Re 186.21 Re.upf
S 32.06 S.upf
CELL_PARAMETERS angstrom
-3.780 4.203 3.906
3.780 -4.203 3.906
3.780 4.203 -3.906
ATOMIC_POSITIONS crystal
Na 0.097 0.250 0.347
Na 0.903 0.750 0.653
Re 0.477 0.933 0.044
Re 0.499 0.499 0.000
Re 0.499 0.999 0.500
Re 0.889 0.433 0.956
S 0.174 0.508 0.779
S 0.174 0.894 0.165
S 0.288 0.546 0.242
S 0.304 0.046 0.758
S 0.603 0.423 0.679
S 0.729 0.008 0.835
S 0.729 0.394 0.221
S 0.744 0.923 0.321
! SG: No. 46
! DOS(E_F), states/eV per cell: 5.88
! Energy relative to the elements, uncorrected, eV/f.u.: -3.0
! Mass density, g/cm³: 7.005

=====

# 3
! NaRe2TeS (PBE, relaxed); values from VASP
&SYSTEM
  ibrav = 0, nat = 5, ntyp = 4
/
ATOMIC_SPECIES
Na 22.99 Na.upf
Re 186.21 Re.upf
Te 127.60 Te.upf
S 32.06 S.upf
CELL_PARAMETERS angstrom
4.376 0.000 0.000
0.000 4.376 0.000
0.000 0.000 5.808
ATOMIC_POSITIONS crystal
Na 0.000 0.000 0.000
Re 0.000 0.500 0.500
Re 0.500 0.000 0.500
Te 0.500 0.500 0.000
S 0.500 0.500 0.500
! SG: No. 123
! DOS(E_F), states/eV per cell: 5.33
! Energy relative to the elements, uncorrected, eV/f.u.: 5.5
! Mass density, g/cm³: 8.286

=====

# 4
! NaReSb3 (PBE, relaxed); values from VASP
&SYSTEM
  ibrav = 0, nat = 5, ntyp = 3
/
ATOMIC_SPECIES
Na 22.99 Na.upf
Re 186.21 Re.upf
Sb 121.76 Sb.upf
CELL_PARAMETERS angstrom
5.287 0.000 0.000
0.000 5.287 0.000
0.000 0.000 5.287
ATOMIC_POSITIONS crystal
Na 0.000 0.000 0.000
Re 0.500 0.500 0.500
Sb 0.000 0.500 0.500
Sb 0.500 0.000 0.500
Sb 0.500 0.500 0.000
! SG: No. 221
! Energy above the most stable polymorph in this dataset, kcal/mol of atoms: 0.00
! DOS(E_F), states/eV per cell: 4.55
! Energy relative to the elements, uncorrected, eV/f.u.: 2.4
! Mass density, g/cm³: 6.454

=====

# 5
! Na2ReSb (PBE, relaxed); values from VASP
&SYSTEM
  ibrav = 0, nat = 8, ntyp = 3
/
ATOMIC_SPECIES
Na 22.99 Na.upf
Re 186.21 Re.upf
Sb 121.76 Sb.upf
CELL_PARAMETERS angstrom
-4.349 4.349 2.618
4.349 -4.349 2.618
4.349 4.349 -2.618
ATOMIC_POSITIONS crystal
Na 0.113 0.125 0.488
Na 0.375 0.887 0.012
Na 0.637 0.625 0.512
Na 0.875 0.363 0.988
Re 0.000 0.000 0.000
Re 0.750 0.250 0.500
Sb 0.250 0.750 0.500
Sb 0.500 0.500 0.000
! SG: No. 122
! DOS(E_F), states/eV per cell: 8.18
! Energy relative to the elements, uncorrected, eV/f.u.: 3.7
! Mass density, g/cm³: 5.937

=====

# 6
! NaRe2Sb (PBE, relaxed); values from VASP
&SYSTEM
  ibrav = 0, nat = 8, ntyp = 3
/
ATOMIC_SPECIES
Na 22.99 Na.upf
Re 186.21 Re.upf
Sb 121.76 Sb.upf
CELL_PARAMETERS angstrom
-4.052 4.052 2.527
4.052 -4.052 2.527
4.052 4.052 -2.527
ATOMIC_POSITIONS crystal
Na 0.000 0.000 0.000
Na 0.750 0.250 0.500
Re 0.183 0.125 0.558
Re 0.375 0.817 0.942
Re 0.567 0.625 0.442
Re 0.875 0.433 0.058
Sb 0.250 0.750 0.500
Sb 0.500 0.500 0.000
! SG: No. 122
! DOS(E_F), states/eV per cell: 8.12
! Energy relative to the elements, uncorrected, eV/f.u.: 5.3
! Mass density, g/cm³: 10.349

=====

# 7
! NaReSb2 (PBE, relaxed); values from VASP
&SYSTEM
  ibrav = 0, nat = 4, ntyp = 3
/
ATOMIC_SPECIES
Na 22.99 Na.upf
Re 186.21 Re.upf
Sb 121.76 Sb.upf
CELL_PARAMETERS angstrom
0.000 3.402 3.402
3.402 0.000 3.402
3.402 3.402 0.000
ATOMIC_POSITIONS crystal
Na 0.000 0.000 0.000
Re 0.500 0.500 0.500
Sb 0.250 0.250 0.250
Sb 0.750 0.750 0.750
! SG: No. 225
! DOS(E_F), states/eV per cell: 1.72
! Energy relative to the elements, uncorrected, eV/f.u.: 1.4
! Mass density, g/cm³: 9.544

=====

# 8
! NaReSb2Se (PBE, relaxed); values from VASP
&SYSTEM
  ibrav = 0, nat = 5, ntyp = 4
/
ATOMIC_SPECIES
Na 22.99 Na.upf
Re 186.21 Re.upf
Sb 121.76 Sb.upf
Se 78.96 Se.upf
CELL_PARAMETERS angstrom
5.254 0.000 0.000
0.000 5.254 0.000
0.000 0.000 5.092
ATOMIC_POSITIONS crystal
Na 0.000 0.000 0.000
Re 0.000 0.000 0.500
Sb 0.000 0.500 0.000
Sb 0.500 0.000 0.000
Se 0.500 0.500 0.500
! SG: No. 123
! DOS(E_F), states/eV per cell: 3.91
! Energy relative to the elements, uncorrected, eV/f.u.: 9.1
! Mass density, g/cm³: 6.281

=====

Question: Which of these has the highest mass density?
Answer: NaRe2Sb